{
  "formula": "Mn2ReSb",
  "functional": "GGA-PBEsol",
  "state": "optimized geometry",
  "lattice_angstrom": [[3.0648, 0.0000, 0.0000], [0.0000, 3.0648, 0.0000], [0.0000, 0.0000, 5.9627]],
  "species": ["Mn", "Mn", "Re", "Sb"],
  "fractional_positions": [[0.0000, 0.0000, 0.0000], [0.5000, 0.5000, 0.2297], [0.0000, 0.0000, 0.4675], [0.5000, 0.5000, 0.7598]],
  "e_form_raw_ev_per_atom": 0.378
}

***

{
  "formula": "BeReNO2",
  "functional": "GGA-PBEsol",
  "state": "optimized geometry",
  "lattice_angstrom": [[3.2399, 0.0000, 0.0000], [0.0000, 3.2399, 0.0000], [0.0000, 0.0000, 3.6990]],
  "species": ["Be", "Re", "N", "O", "O"],
  "fractional_positions": [[0.0000, 0.0000, 0.0000], [0.5000, 0.5000, 0.5000], [0.0000, 0.0000, 0.5000], [0.0000, 0.5000, 0.0000], [0.5000, 0.0000, 0.0000]],
  "e_form_raw_ev_per_atom": -0.049
}

***

Number 1: magnetic moment 2.31 μB/f.u.. Number 2: magnetic moment 0.00 μB/f.u..